An optimized crystal structure of KTlP2, computed with PBE.

CIF file:
```
data_KTlP2
_chemical_formula_sum 'K1 Tl1 P2'
_cell_length_a 4.373
_cell_length_b 4.373
_cell_length_c 6.723
_cell_angle_alpha 90.00
_cell_angle_beta 90.00
_cell_angle_gamma 90.00
_space_group_name_H-M_alt 'P 1'
_space_group_IT_number 1
loop_
_space_group_symop_operation_xyz
'x,y,z'
loop_
_atom_site_label
_atom_site_fract_x
_atom_site_fract_y
_atom_site_fract_z
K1 0.000 0.000 0.000
Tl1 0.000 0.000 0.500
P1 0.500 0.500 0.348
P2 0.500 0.500 0.652
```

Results
theoretical density: 3.94 g/cm3
crystal system: tetragonal
energy of formation from the pure elements: 0.00 eV/atom


An optimized crystal structure of ZrAg2Hg, computed with PBE.

CIF file:
```
data_ZrAg2Hg
_chemical_formula_sum 'Zr2 Ag4 Hg2'
_cell_length_a 6.247
_cell_length_b 6.247
_cell_length_c 6.247
_cell_angle_alpha 102.23
_cell_angle_beta 102.23
_cell_angle_gamma 125.20
_space_group_name_H-M_alt 'P 1'
_space_group_IT_number 1
loop_
_space_group_symop_operation_xyz
'x,y,z'
loop_
_atom_site_label
_atom_site_fract_x
_atom_site_fract_y
_atom_site_fract_z
Zr1 0.000 0.000 0.000
Zr2 0.750 0.250 0.500
Ag1 0.131 0.125 0.506
Ag2 0.375 0.869 0.994
Ag3 0.619 0.625 0.494
Ag4 0.875 0.381 0.006
Hg1 0.250 0.750 0.500
Hg2 0.500 0.500 0.000
```

Results
theoretical density: 9.53 g/cm3
crystal system: tetragonal
energy of formation from the pure elements: 0.34 eV/atom


An optimized crystal structure of BaCaAg2, computed with PBE.

CIF file:
```
data_BaCaAg2
_chemical_formula_sum 'Ba1 Ca1 Ag2'
_cell_length_a 4.290
_cell_length_b 4.932
_cell_length_c 6.451
_cell_angle_alpha 90.00
_cell_angle_beta 109.26
_cell_angle_gamma 90.00
_space_group_name_H-M_alt 'P 1'
_space_group_IT_number 1
loop_
_space_group_symop_operation_xyz
'x,y,z'
loop_
_atom_site_label
_atom_site_fract_x
_atom_site_fract_y
_atom_site_fract_z
Ba1 0.000 0.000 0.000
Ca1 0.722 0.500 0.443
Ag1 0.281 0.000 0.558
Ag2 0.414 0.500 0.828
```

Results
theoretical density: 5.07 g/cm3
crystal system: monoclinic
energy of formation from the pure elements: -0.26 eV/atom


An optimized crystal structure of Nd3B2C4, computed with PBE.

CIF file:
```
data_Nd3B2C4
_chemical_formula_sum 'Nd3 B2 C4'
_cell_length_a 6.859
_cell_length_b 6.859
_cell_length_c 6.859
_cell_angle_alpha 147.64
_cell_angle_beta 124.50
_cell_angle_gamma 65.72
_space_group_name_H-M_alt 'P 1'
_space_group_IT_number 1
loop_
_space_group_symop_operation_xyz
'x,y,z'
loop_
_atom_site_label
_atom_site_fract_x
_atom_site_fract_y
_atom_site_fract_z
Nd1 0.000 0.000 0.000
Nd2 0.303 0.803 0.500
Nd3 0.697 0.197 0.500
B1 0.294 0.500 0.794
B2 0.706 0.500 0.206
C1 0.119 0.378 0.742
C2 0.364 0.622 0.742
C3 0.636 0.378 0.258
C4 0.881 0.622 0.258
```

Results
theoretical density: 5.93 g/cm3
crystal system: orthorhombic
energy of formation from the pure elements: -0.12 eV/atom